Entry from the Alexandria database: a relaxed structure of MgAlW2 (GGA-PBEsol).

Properties
DFT total energy: -8.0233 eV per atom

Lattice parameters (Å, degrees): 2.710 2.710 8.949 90.00 90.00 90.00
Space group P4mm (No. 99)
One atom of each set of equivalent atoms:
Mg 0.000 0.000 0.000 [1 per cell]
Al 0.500 0.500 0.730 [1 per cell]
W 0.000 0.000 0.505 [1 per cell]
W 0.500 0.500 0.253 [1 per cell]

=====

Entry from the Alexandria database: a relaxed structure of RbBi2RuPt (GGA-PBEsol).

Properties
DFT total energy: -4.4803 eV per atom

Lattice parameters (Å, degrees): 5.115 5.115 5.353 90.00 90.00 90.00
Space group P4/mmm (No. 123)
One atom of each set of equivalent atoms:
Rb 0.000 0.000 0.000 [1 per cell]
Bi 0.000 0.500 0.500 [2 per cell]
Ru 0.000 0.000 0.500 [1 per cell]
Pt 0.500 0.500 0.000 [1 per cell]

=====

Entry from the Alexandria database: a relaxed structure of BeCuNiBr2 (GGA-PBEsol).

Properties
raw formation energy: 0.816 eV/atom

Lattice parameters (Å, degrees): 4.688 4.688 4.561 90.00 90.00 90.00
Space group P4/mmm (No. 123)
One atom of each set of equivalent atoms:
Be 0.000 0.000 0.000 [1 per cell]
Cu 0.500 0.500 0.000 [1 per cell]
Ni 0.500 0.500 0.500 [1 per cell]
Br 0.000 0.500 0.500 [2 per cell]

=====

Entry from the Alexandria database: a relaxed structure of K2AlPt (GGA-PBEsol).

Properties
DFT total energy: -2.9709 eV per atom

Lattice parameters (Å, degrees): 3.046 5.359 5.701 90.00 91.55 90.00
Space group P2/m (No. 10)
One atom of each set of equivalent atoms:
K 0.021 0.000 0.261 [2 per cell]
Al 0.500 0.500 0.000 [1 per cell]
Pt 0.500 0.500 0.500 [1 per cell]

=====

Entry from the Alexandria database: a relaxed structure of CaCdCl4 (GGA-PBEsol).

Properties
raw formation energy: -0.417 eV/atom

Lattice parameters (Å, degrees): 8.309 8.309 8.309 90.00 90.00 90.00
Space group F-43m (No. 216)
One atom of each set of equivalent atoms:
Ca 0.000 0.000 0.000 [4 per cell]
Cd 0.250 0.250 0.250 [4 per cell]
Cl 0.125 0.125 0.625 [16 per cell]

=====

Entry from the Alexandria database: a relaxed structure of MgGa2 (GGA-PBEsol).

Properties
DFT total energy: -2.9518 eV per atom

Lattice parameters (Å, degrees): 4.3007 4.3007 6.8672 90.00 90.00 120.00
Space group P6_3/mmc (No. 194)
One atom of each set of equivalent atoms:
Mg 0.0000 0.0000 0.2500 [2 per cell]
Ga 0.3333 0.6667 0.0508 [4 per cell]

=====

Entry from the Alexandria database: a relaxed structure of BaSr2Br (GGA-PBEsol).

Properties
raw formation energy: -0.267 eV/atom

Lattice parameters (Å, degrees): 9.042 9.042 9.042 90.00 90.00 90.00
Space group F-43m (No. 216)
One atom of each set of equivalent atoms:
Ba 0.000 0.000 0.000 [4 per cell]
Sr 0.000 0.000 0.500 [4 per cell]
Sr 0.250 0.250 0.250 [4 per cell]
Br 0.250 0.250 0.750 [4 per cell]

=====

Entry from the Alexandria database: a relaxed structure of Li3YNi (GGA-PBEsol).

Properties
DFT total energy: -2.1182 eV per atom

Lattice parameters (Å, degrees): 4.983 4.983 4.983 90.00 90.00 90.00
Space group Pm-3m (No. 221)
One atom of each set of equivalent atoms:
Li 0.000 0.000 0.500 [3 per cell]
Y 0.000 0.000 0.000 [1 per cell]
Ni 0.500 0.500 0.500 [1 per cell]

=====

Entry from the Alexandria database: a relaxed structure of ZrW4 (GGA-PBEsol).

Properties
DFT total energy: -12.1601 eV per atom

Lattice parameters (Å, degrees): 4.166 4.166 11.013 90.00 90.00 90.00
Space group I4/mmm (No. 139)
One atom of each set of equivalent atoms:
Zr 0.000 0.000 0.000 [2 per cell]
W 0.000 0.000 0.384 [4 per cell]
W 0.000 0.500 0.250 [4 per cell]

=====

Entry from the Alexandria database: a relaxed structure of ScOs (GGA-PBEsol).

Properties
DFT total energy: -9.5155 eV per atom

Lattice parameters (Å, degrees): 6.335 6.335 6.335 90.00 90.00 90.00
Space group Fd-3m (No. 227, origin choice 2)
One atom of each set of equivalent atoms:
Sc 0.125 0.125 0.125 [8 per cell]
Os 0.125 0.125 0.625 [8 per cell]

=====

Entry from the Alexandria database: a relaxed structure of LiRuNF2 (GGA-PBEsol).

Properties
raw formation energy: -0.274 eV/atom

Lattice parameters (Å, degrees): 3.233 3.233 4.332 90.00 90.00 90.00
Space group P4/mmm (No. 123)
One atom of each set of equivalent atoms:
Li 0.000 0.000 0.000 [1 per cell]
Ru 0.500 0.500 0.500 [1 per cell]
N 0.000 0.000 0.500 [1 per cell]
F 0.000 0.500 0.000 [2 per cell]

=====

Entry from the Alexandria database: a relaxed structure of ScMnCl2 (GGA-PBEsol).

Properties
raw formation energy: -0.617 eV/atom

Lattice parameters (Å, degrees): 3.123 4.329 11.742 90.00 90.00 90.00
Space group Imm2 (No. 44)
One atom of each set of equivalent atoms:
Sc 0.000 0.000 0.000 [2 per cell]
Mn 0.000 0.500 0.297 [2 per cell]
Cl 0.000 0.000 0.464 [2 per cell]
Cl 0.000 0.500 0.679 [2 per cell]

=====

Entry from the Alexandria database: a relaxed structure of InGaSb2 (GGA-PBEsol).

Properties
raw formation energy: -0.099 eV/atom

Lattice parameters (Å, degrees): 6.319 6.319 12.568 90.00 90.00 90.00
Space group I-42d (No. 122)
One atom of each set of equivalent atoms:
In 0.000 0.000 0.000 [4 per cell]
Ga 0.000 0.000 0.500 [4 per cell]
Sb 0.228 0.250 0.625 [8 per cell]

=====

Entry from the Alexandria database: a relaxed structure of CrGa4 (GGA-PBEsol).

Properties
DFT total energy: -4.8884 eV per atom

Lattice parameters (Å, degrees): 5.572 5.572 5.572 90.00 90.00 90.00
Space group Im-3m (No. 229)
One atom of each set of equivalent atoms:
Cr 0.000 0.000 0.000 [2 per cell]
Ga 0.250 0.250 0.250 [8 per cell]

=====

Entry from the Alexandria database: a relaxed structure of ZrFePb2 (GGA-PBEsol).

Properties
DFT total energy: -6.4144 eV per atom

Lattice parameters (Å, degrees): 3.270 3.270 8.323 90.00 90.00 90.00
Space group P4mm (No. 99)
One atom of each set of equivalent atoms:
Zr 0.000 0.000 0.000 [1 per cell]
Fe 0.500 0.500 0.149 [1 per cell]
Pb 0.000 0.000 0.374 [1 per cell]
Pb 0.500 0.500 0.725 [1 per cell]

=====

Entry from the Alexandria database: a relaxed structure of AgBPt3 (GGA-PBEsol).

Properties
DFT total energy: -6.4632 eV per atom

Lattice parameters (Å, degrees): 9.688 5.625 5.456 90.00 107.33 90.00
Space group C2/m (No. 12)
One atom of each set of equivalent atoms:
Ag 0.039 0.000 0.268 [4 per cell]
B 0.168 0.500 0.001 [4 per cell]
Pt 0.043 0.500 0.270 [4 per cell]
Pt 0.210 0.253 0.729 [8 per cell]

=====

Entry from the Alexandria database: a relaxed structure of Nd2BiN (GGA-PBEsol).

Properties
raw formation energy: -1.242 eV/atom

Lattice parameters (Å, degrees): 4.677 4.677 9.263 90.00 90.00 90.00
Space group P4/nmm (No. 129, origin choice 2)
One atom of each set of equivalent atoms:
Nd 0.250 0.250 0.174 [2 per cell]
Nd 0.250 0.750 0.500 [2 per cell]
Bi 0.250 0.250 0.805 [2 per cell]
N 0.250 0.250 0.418 [2 per cell]

=====

Entry from the Alexandria database: a relaxed structure of Mn2ReSnPd (GGA-PBEsol).

Properties
DFT total energy: -7.4435 eV per atom

Lattice parameters (Å, degrees): 4.499 4.499 4.897 90.00 90.00 90.00
Space group P4/mmm (No. 123)
One atom of each set of equivalent atoms:
Mn 0.000 0.500 0.000 [2 per cell]
Re 0.000 0.000 0.000 [1 per cell]
Sn 0.500 0.500 0.500 [1 per cell]
Pd 0.000 0.000 0.500 [1 per cell]

=====

Entry from the Alexandria database: a relaxed structure of YSiAs2 (GGA-PBEsol).

Properties
raw formation energy: -0.500 eV/atom

Lattice parameters (Å, degrees): 3.7584 3.7584 20.1329 90.00 90.00 120.00
Space group R-3m (No. 166, hexagonal axes)
One atom of each set of equivalent atoms:
Y 0.0000 0.0000 0.0000 [3 per cell]
Si 0.0000 0.0000 0.5000 [3 per cell]
As 0.0000 0.0000 0.2388 [6 per cell]

=====

Entry from the Alexandria database: a relaxed structure of Na2SnH2 (GGA-PBEsol).

Properties
DFT total energy: -2.5010 eV per atom

Lattice parameters (Å, degrees): 4.016 4.016 10.340 90.00 90.00 90.00
Space group I4/mmm (No. 139)
One atom of each set of equivalent atoms:
Na 0.000 0.000 0.168 [4 per cell]
Sn 0.000 0.000 0.500 [2 per cell]
H 0.000 0.500 0.250 [4 per cell]

=====

Entry from the Alexandria database: a relaxed structure of CdAgOs2 (GGA-PBEsol).

Properties
DFT total energy: -6.6781 eV per atom

Lattice parameters (Å, degrees): 8.976 2.789 5.090 90.00 98.41 90.00
Space group Cm (No. 8)
One atom of each set of equivalent atoms:
Cd 0.000 0.000 0.000 [2 per cell]
Ag 0.246 0.000 0.787 [2 per cell]
Os 0.254 0.500 0.316 [2 per cell]
Os 0.493 0.000 0.480 [2 per cell]

=====

Entry from the Alexandria database: a relaxed structure of Ba2ScMo (GGA-PBEsol).

Properties
DFT total energy: -4.8796 eV per atom

Lattice parameters (Å, degrees): 4.460 6.121 9.670 90.00 90.00 90.00
Space group Imm2 (No. 44)
One atom of each set of equivalent atoms:
Ba 0.000 0.000 0.000 [2 per cell]
Ba 0.000 0.500 0.185 [2 per cell]
Sc 0.000 0.000 0.385 [2 per cell]
Mo 0.000 0.500 0.775 [2 per cell]

=====

Entry from the Alexandria database: a relaxed structure of KRe2Ni (GGA-PBEsol).

Properties
DFT total energy: -6.9008 eV per atom

Lattice parameters (Å, degrees): 3.643 3.643 4.991 90.00 90.00 90.00
Space group P4/mmm (No. 123)
One atom of each set of equivalent atoms:
K 0.000 0.000 0.000 [1 per cell]
Re 0.000 0.500 0.500 [2 per cell]
Ni 0.500 0.500 0.000 [1 per cell]

=====

Entry from the Alexandria database: a relaxed structure of PbC2Br (GGA-PBEsol).

Properties
raw formation energy: 2.248 eV/atom

Lattice parameters (Å, degrees): 4.907 4.907 12.036 90.00 90.00 90.00
Space group I-42d (No. 122)
One atom of each set of equivalent atoms:
Pb 0.000 0.000 0.000 [4 per cell]
C 0.229 0.250 0.625 [8 per cell]
Br 0.000 0.000 0.500 [4 per cell]

=====

Entry from the Alexandria database: a relaxed structure of ZnCr2Si (GGA-PBEsol).

Properties
raw formation energy: 0.163 eV/atom

Lattice parameters (Å, degrees): 4.424 2.551 4.581 90.00 111.40 90.00
Space group P2/m (No. 10)
One atom of each set of equivalent atoms:
Zn 0.000 0.000 0.000 [1 per cell]
Cr 0.500 0.000 0.500 [1 per cell]
Cr 0.500 0.500 0.000 [1 per cell]
Si 0.000 0.500 0.500 [1 per cell]

=====

Entry from the Alexandria database: a relaxed structure of V4S9Br4 (GGA-PBEsol).

Properties
raw formation energy: -0.766 eV/atom

Lattice parameters (Å, degrees): 10.731 10.731 7.073 90.00 90.00 90.00
Space group P4/nmm (No. 129, origin choice 2)
One atom of each set of equivalent atoms:
V 0.114 0.114 0.125 [8 per cell]
S 0.036 0.250 0.357 [8 per cell]
S 0.059 0.750 0.889 [8 per cell]
S 0.250 0.250 0.972 [2 per cell]
Br 0.052 0.052 0.785 [8 per cell]

=====

Entry from the Alexandria database: a relaxed structure of TlPd2Cl (GGA-PBEsol).

Properties
raw formation energy: -0.015 eV/atom

Lattice parameters (Å, degrees): 6.530 6.530 6.530 90.00 90.00 90.00
Space group Fm-3m (No. 225)
One atom of each set of equivalent atoms:
Tl 0.000 0.000 0.000 [4 per cell]
Pd 0.250 0.250 0.250 [8 per cell]
Cl 0.000 0.000 0.500 [4 per cell]